# 1
DFT (GGA-PBE) results for a relaxed CeEuSnSb crystal.

Properties
space-group type = F-43m, No. 216
formation energy from raw total energies = -2.6 eV per formula unit
DOS at the Fermi energy = 2.068 states/eV/atom
total magnetization = 7.97 μB per cell

Lattice parameters (Å, degrees): 5.5107 5.5107 5.5107 60.00 60.00 60.00
Last column: nearest neighbours and their distance in Å.
Atoms (fractional coordinates):
Ce1 0.0000 0.0000 0.0000  4 Sn 3.37, 4 Sb 3.37
Eu1 0.5000 0.5000 0.5000  4 Sn 3.37, 4 Sb 3.37
Sn1 0.7500 0.7500 0.7500  4 Eu 3.37, 4 Ce 3.37
Sb1 0.2500 0.2500 0.2500  4 Eu 3.37, 4 Ce 3.37

***

# 2
DFT (GGA-PBE) results for a relaxed CeEuTlSb crystal.

Properties
space-group type = F-43m, No. 216
formation energy from raw total energies = -2.1 eV per formula unit
DOS at the Fermi energy = 2.308 states/eV/atom
total magnetization = 8.56 μB per cell

Lattice parameters (Å, degrees): 5.5306 5.5306 5.5306 60.00 60.00 60.00
Last column: nearest neighbours and their distance in Å.
Atoms (fractional coordinates):
Ce1 0.0000 0.0000 0.0000  4 Tl 3.39, 4 Sb 3.39
Eu1 0.5000 0.5000 0.5000  4 Tl 3.39, 4 Sb 3.39
Tl1 0.7500 0.7500 0.7500  4 Eu 3.39, 4 Ce 3.39
Sb1 0.2500 0.2500 0.2500  4 Eu 3.39, 4 Ce 3.39

***

# 3
DFT (GGA-PBE) results for a relaxed CeEuSc2 crystal.

Properties
energy of formation from the pure elements = 0.133 eV per atom
space-group type = P4/mmm, No. 123
DOS at the Fermi energy = 1.722 states/eV/atom
offset from the most stable computed form = 0 meV per atom
total magnetization = 7.32 μB per cell

Lattice parameters (Å, degrees): 3.4568 3.4568 9.6855 90.00 90.00 90.00
Last column: nearest neighbours and their distance in Å.
Atoms (fractional coordinates):
Ce1 0.0000 0.0000 0.0000  8 Sc 3.28, 4 Ce 3.46
Eu1 0.0000 0.0000 0.5000  4 Eu 3.46, 8 Sc 3.61
Sc1 0.5000 0.5000 0.2262  4 Ce 3.28, 4 Sc 3.46, 4 Eu 3.61
Sc2 0.5000 0.5000 0.7738  4 Ce 3.28, 4 Sc 3.46, 4 Eu 3.61

***

# 4
DFT (GGA-PBE) results for a relaxed CeEuSc2 crystal.

Properties
energy of formation from the pure elements = 0.196 eV per atom
space-group type = P4/mmm, No. 123
DOS at the Fermi energy = 2.035 states/eV/atom
offset from the most stable computed form = 63 meV per atom
total magnetization = 6.30 μB per cell

Lattice parameters (Å, degrees): 5.5368 5.5368 3.7907 90.00 90.00 90.00
Last column: nearest neighbours and their distance in Å.
Atoms (fractional coordinates):
Ce1 0.0000 0.0000 0.0000  8 Sc 3.36
Eu1 0.5000 0.5000 0.0000  8 Sc 3.36
Sc1 0.0000 0.5000 0.5000  4 Ce 3.36, 4 Eu 3.36
Sc2 0.5000 0.0000 0.5000  4 Ce 3.36, 4 Eu 3.36

***

# 5
DFT (GGA-PBE) results for a relaxed CeEuSc2 crystal.

Properties
energy of formation from the pure elements = 0.214 eV per atom
space-group type = Fm-3m, No. 225
DOS at the Fermi energy = 2.195 states/eV/atom
offset from the most stable computed form = 81 meV per atom
total magnetization = 7.62 μB per cell

Lattice parameters (Å, degrees): 5.4807 5.4807 5.4807 60.00 60.00 60.00
Last column: nearest neighbours and their distance in Å.
Atoms (fractional coordinates):
Ce1 0.0000 0.0000 0.0000  8 Sc 3.36
Eu1 0.5000 0.5000 0.5000  8 Sc 3.36
Sc1 0.2500 0.2500 0.2500  4 Eu 3.36, 4 Ce 3.36
Sc2 0.7500 0.7500 0.7500  4 Eu 3.36, 4 Ce 3.36

***

# 6
DFT (GGA-PBE) results for a relaxed Ce2EuSc crystal.

Properties
energy of formation from the pure elements = 0.193 eV per atom
space-group type = P4/mmm, No. 123
DOS at the Fermi energy = 3.047 states/eV/atom
total magnetization = 5.33 μB per cell

Lattice parameters (Å, degrees): 3.4139 3.4139 10.3256 90.00 90.00 90.00
Last column: nearest neighbours and their distance in Å.
Atoms (fractional coordinates):
Ce1 0.0000 0.0000 0.2285  4 Sc 3.38, 4 Ce 3.41, 4 Eu 3.70
Ce2 0.0000 0.0000 0.7715  4 Sc 3.38, 4 Ce 3.41, 4 Eu 3.70
Eu1 0.5000 0.5000 0.5000  4 Eu 3.41, 8 Ce 3.70
Sc1 0.5000 0.5000 0.0000  8 Ce 3.38, 4 Sc 3.41

***

# 7
DFT (GGA-PBE) results for a relaxed CeEuScTl crystal.

Properties
energy of formation from the pure elements = -0.001 eV per atom
space-group type = F-43m, No. 216
DOS at the Fermi energy = 1.903 states/eV/atom
total magnetization = 10.03 μB per cell

Lattice parameters (Å, degrees): 5.4052 5.4052 5.4052 60.00 60.00 60.00
Last column: nearest neighbours and their distance in Å.
Atoms (fractional coordinates):
Ce1 0.0000 0.0000 0.0000  4 Tl 3.31, 4 Eu 3.31
Eu1 0.7500 0.7500 0.7500  4 Sc 3.31, 4 Ce 3.31
Sc1 0.5000 0.5000 0.5000  4 Eu 3.31, 4 Tl 3.31
Tl1 0.2500 0.2500 0.2500  4 Sc 3.31, 4 Ce 3.31

***

# 8
DFT (GGA-PBE) results for a relaxed CeEuSi2 crystal.

Properties
space-group type = P4/mmm, No. 123
formation energy from raw total energies = -1.6 eV per formula unit
DOS at the Fermi energy = 1.160 states/eV/atom
offset from the most stable computed form = 0 meV per atom
total magnetization = 6.47 μB per cell

Lattice parameters (Å, degrees): 3.3222 3.3222 8.2051 90.00 90.00 90.00
Last column: nearest neighbours and their distance in Å.
Atoms (fractional coordinates):
Ce1 0.0000 0.0000 0.0000  8 Si 3.09, 4 Ce 3.32
Eu1 0.0000 0.0000 0.5000  8 Si 3.15, 4 Eu 3.32
Si1 0.5000 0.5000 0.2445  4 Ce 3.09, 4 Eu 3.15, 4 Si 3.32
Si2 0.5000 0.5000 0.7555  4 Ce 3.09, 4 Eu 3.15, 4 Si 3.32

***

# 9
DFT (GGA-PBE) results for a relaxed CeEuSi4 crystal.

Properties
space-group type = F-43m, No. 216
formation energy from raw total energies = -2.1 eV per formula unit
DOS at the Fermi energy = 1.253 states/eV/atom
total magnetization = 6.55 μB per cell

Lattice parameters (Å, degrees): 5.3864 5.3864 5.3864 60.00 60.00 60.00
Last column: nearest neighbours and their distance in Å.
Atoms (fractional coordinates):
Ce1 0.0000 0.0000 0.0000  12 Si 3.16, 4 Eu 3.30
Eu1 0.2500 0.2500 0.2500  12 Si 3.16, 4 Ce 3.30
Si1 0.1265 0.6245 0.6245  6 Si 2.68-2.70
Si2 0.6245 0.1265 0.6245  6 Si 2.68-2.70
Si3 0.6245 0.6245 0.1265  6 Si 2.68-2.70
Si4 0.6245 0.6245 0.6245  6 Si 2.68-2.70

***

# 10
DFT (GGA-PBE) results for a relaxed CeEuSi crystal.

Properties
space-group type = F-43m, No. 216
formation energy from raw total energies = -0.8 eV per formula unit
DOS at the Fermi energy = 2.752 states/eV/atom
offset from the most stable computed form = 0 meV per atom
total magnetization = 8.86 μB per cell

Lattice parameters (Å, degrees): 5.0461 5.0461 5.0461 60.00 60.00 60.00
Last column: nearest neighbours and their distance in Å.
Atoms (fractional coordinates):
Ce1 0.0000 0.0000 0.0000  4 Si 3.09
Eu1 0.5000 0.5000 0.5000  4 Si 3.09
Si1 0.7500 0.7500 0.7500  4 Ce 3.09, 4 Eu 3.09

***

# 11
DFT (GGA-PBE) results for a relaxed Ce2EuSi crystal.

Properties
space-group type = P4/mmm, No. 123
formation energy from raw total energies = -0.8 eV per formula unit
DOS at the Fermi energy = 2.105 states/eV/atom
total magnetization = 9.19 μB per cell

Lattice parameters (Å, degrees): 4.6197 4.6197 4.7146 90.00 90.00 90.00
Last column: nearest neighbours and their distance in Å.
Atoms (fractional coordinates):
Ce1 0.0000 0.5000 0.0000  4 Ce 3.27, 4 Si 3.30, 4 Eu 3.30
Ce2 0.5000 0.0000 0.0000  4 Ce 3.27, 4 Si 3.30, 4 Eu 3.30
Eu1 0.0000 0.0000 0.5000  4 Si 3.27, 8 Ce 3.30
Si1 0.5000 0.5000 0.5000  4 Eu 3.27, 8 Ce 3.30

***

# 12
DFT (GGA-PBE) results for a relaxed CeEuSi crystal.

Properties
space-group type = P3m1, No. 156
formation energy from raw total energies = -0.6 eV per formula unit
DOS at the Fermi energy = 1.864 states/eV/atom
offset from the most stable computed form = 78 meV per atom
total magnetization = 7.83 μB per cell

Lattice parameters (Å, degrees): 4.7593 4.7593 3.8163 90.00 90.00 120.00
Last column: nearest neighbours and their distance in Å.
Atoms (fractional coordinates):
Ce1 0.0000 0.0000 0.0000  3 Si 2.99, 3 Eu 3.09
Eu1 0.6667 0.3333 0.6278  3 Si 3.01, 3 Ce 3.09
Si1 0.3333 0.6667 0.3058  3 Ce 2.99, 3 Eu 3.01

***

# 13
DFT (GGA-PBE) results for a relaxed CeEuSi2 crystal.

Properties
space-group type = Fm-3m, No. 225
formation energy from raw total energies = -1.4 eV per formula unit
DOS at the Fermi energy = 1.237 states/eV/atom
offset from the most stable computed form = 59 meV per atom
total magnetization = 7.81 μB per cell

Lattice parameters (Å, degrees): 5.0989 5.0989 5.0989 60.00 60.00 60.00
Last column: nearest neighbours and their distance in Å.
Atoms (fractional coordinates):
Ce1 0.0000 0.0000 0.0000  8 Si 3.12
Eu1 0.5000 0.5000 0.5000  8 Si 3.12
Si1 0.2500 0.2500 0.2500  4 Ce 3.12, 4 Eu 3.12
Si2 0.7500 0.7500 0.7500  4 Ce 3.12, 4 Eu 3.12

***

# 14
DFT (GGA-PBE) results for a relaxed CeSmEu2 crystal.

Properties
energy of formation from the pure elements = 0.222 eV per atom
space-group type = P4/mmm, No. 123
DOS at the Fermi energy = 2.247 states/eV/atom
offset from the most stable computed form = 42 meV per atom
total magnetization = 16.11 μB per cell

Lattice parameters (Å, degrees): 6.0245 6.0245 4.0143 90.00 90.00 90.00
Last column: nearest neighbours and their distance in Å.
Atoms (fractional coordinates):
Ce1 0.0000 0.0000 0.0000  8 Eu 3.62, 2 Ce 4.01
Sm1 0.5000 0.5000 0.0000  8 Eu 3.62, 2 Sm 4.01
Eu1 0.0000 0.5000 0.5000  4 Ce 3.62, 4 Sm 3.62, 2 Eu 4.01
Eu2 0.5000 0.0000 0.5000  4 Ce 3.62, 4 Sm 3.62, 2 Eu 4.01

***

# 15
DFT (GGA-PBE) results for a relaxed Ce2SmEu crystal.

Properties
energy of formation from the pure elements = 0.282 eV per atom
space-group type = P4/mmm, No. 123
DOS at the Fermi energy = 3.685 states/eV/atom
total magnetization = 10.22 μB per cell

Lattice parameters (Å, degrees): 4.2650 4.2650 7.4546 90.00 90.00 90.00
Last column: nearest neighbours and their distance in Å.
Atoms (fractional coordinates):
Ce1 0.0000 0.0000 0.2368  4 Sm 3.49, 1 Ce 3.53, 4 Eu 3.60
Ce2 0.0000 0.0000 0.7632  4 Sm 3.49, 1 Ce 3.53, 4 Eu 3.60
Sm1 0.5000 0.5000 0.0000  8 Ce 3.49, 2 Eu 3.73
Eu1 0.5000 0.5000 0.5000  8 Ce 3.60, 2 Sm 3.73

***

| no. | calculated total energy (eV per cell) |
| --- | --- |
| 1 | -26.964 |
| 2 | -24.841 |
| 3 | -28.338 |
| 4 | -28.087 |
| 5 | -28.015 |
| 6 | -27.701 |
| 7 | -24.910 |
| 8 | -28.704 |
| 9 | -39.972 |
| 10 | -22.458 |
| 11 | -28.375 |
| 12 | -22.224 |
| 13 | -28.467 |
| 14 | -30.313 |
| 15 | -25.735 |